Model P:
Density functional theory data (PBE-GGA) for Sm5Bi2Sb2 after structural relaxation.

CIF file:
```
data_Sm5Bi2Sb2
_chemical_formula_sum 'Sm10 Bi4 Sb4'
_cell_length_a 8.940
_cell_length_b 8.940
_cell_length_c 8.434
_cell_angle_alpha 90.00
_cell_angle_beta 90.00
_cell_angle_gamma 55.57
_symmetry_space_group_name_H-M 'P 1'
_symmetry_Int_Tables_number 1
_symmetry_space_group_name_Hall 'P 1'
loop_
_atom_site_label
_atom_site_fract_x
_atom_site_fract_y
_atom_site_fract_z
Sm1 0.000 0.000 0.000
Sm2 0.022 0.697 0.659
Sm3 0.197 0.522 0.159
Sm4 0.303 0.978 0.659
Sm5 0.478 0.803 0.159
Sm6 0.500 0.500 0.500
Sm7 0.522 0.197 0.841
Sm8 0.697 0.022 0.341
Sm9 0.803 0.478 0.841
Sm10 0.978 0.303 0.341
Bi1 0.142 0.858 0.358
Bi2 0.358 0.642 0.858
Bi3 0.642 0.358 0.142
Bi4 0.858 0.142 0.642
Sb1 0.199 0.199 0.000
Sb2 0.301 0.301 0.500
Sb3 0.699 0.699 0.500
Sb4 0.801 0.801 0.000
```

As for the volume: 30.884 Å³ per atom. As for the symmetry: Cmce, No. 64.

=====

Model Q:
Density functional theory data (PBE-GGA) for Sm5Bi2Sb2 after structural relaxation.

CIF file:
```
data_Sm5Bi2Sb2
_chemical_formula_sum 'Sm10 Bi4 Sb4'
_cell_length_a 8.973
_cell_length_b 8.973
_cell_length_c 8.397
_cell_angle_alpha 90.00
_cell_angle_beta 90.00
_cell_angle_gamma 55.37
_symmetry_space_group_name_H-M 'P 1'
_symmetry_Int_Tables_number 1
_symmetry_space_group_name_Hall 'P 1'
loop_
_atom_site_label
_atom_site_fract_x
_atom_site_fract_y
_atom_site_fract_z
Sm1 0.000 0.000 0.000
Sm2 0.028 0.707 0.660
Sm3 0.207 0.528 0.160
Sm4 0.293 0.972 0.660
Sm5 0.472 0.793 0.160
Sm6 0.500 0.500 0.500
Sm7 0.528 0.207 0.840
Sm8 0.707 0.028 0.340
Sm9 0.793 0.472 0.840
Sm10 0.972 0.293 0.340
Bi1 0.202 0.202 0.000
Bi2 0.298 0.298 0.500
Bi3 0.702 0.702 0.500
Bi4 0.798 0.798 0.000
Sb1 0.142 0.858 0.358
Sb2 0.358 0.642 0.858
Sb3 0.642 0.358 0.142
Sb4 0.858 0.142 0.642
```

As for the volume: 30.904 Å³ per atom. As for the symmetry: Cmce, No. 64.

=====

Most stable one: model Q, least stable one: model P.

=====

Model P:
Density functional theory data (PBE-GGA) for Sm4Bi2Sb after structural relaxation.

CIF file:
```
data_Sm4Bi2Sb
_chemical_formula_sum 'Sm8 Bi4 Sb2'
_cell_length_a 8.534
_cell_length_b 8.534
_cell_length_c 8.534
_cell_angle_alpha 108.92
_cell_angle_beta 108.92
_cell_angle_gamma 110.57
_symmetry_space_group_name_H-M 'P 1'
_symmetry_Int_Tables_number 1
_symmetry_space_group_name_Hall 'P 1'
loop_
_atom_site_label
_atom_site_fract_x
_atom_site_fract_y
_atom_site_fract_z
Sm1 0.186 0.244 0.558
Sm2 0.186 0.627 0.942
Sm3 0.244 0.186 0.058
Sm4 0.373 0.814 0.558
Sm5 0.627 0.186 0.442
Sm6 0.756 0.814 0.942
Sm7 0.814 0.373 0.058
Sm8 0.814 0.756 0.442
Bi1 0.000 0.500 0.500
Bi2 0.500 0.000 0.000
Bi3 0.500 0.500 0.000
Bi4 0.500 0.500 0.500
Sb1 0.125 0.875 0.250
Sb2 0.875 0.125 0.750
```

As for the volume: 34.165 Å³ per atom. As for the symmetry: I4_1/amd, No. 141.

=====

Model Q:
Density functional theory data (PBE-GGA) for Sm4Bi2Sb after structural relaxation.

CIF file:
```
data_Sm4Bi2Sb
_chemical_formula_sum 'Sm8 Bi4 Sb2'
_cell_length_a 8.242
_cell_length_b 8.242
_cell_length_c 8.242
_cell_angle_alpha 109.65
_cell_angle_beta 109.65
_cell_angle_gamma 109.12
_symmetry_space_group_name_H-M 'P 1'
_symmetry_Int_Tables_number 1
_symmetry_space_group_name_Hall 'P 1'
loop_
_atom_site_label
_atom_site_fract_x
_atom_site_fract_y
_atom_site_fract_z
Sm1 0.117 0.228 0.747
Sm2 0.120 0.731 0.753
Sm3 0.269 0.022 0.389
Sm4 0.481 0.370 0.253
Sm5 0.630 0.883 0.111
Sm6 0.633 0.880 0.611
Sm7 0.772 0.519 0.889
Sm8 0.978 0.367 0.247
Bi1 0.254 0.625 0.129
Bi2 0.375 0.504 0.629
Bi3 0.496 0.125 0.871
Bi4 0.875 0.746 0.371
Sb1 0.000 0.000 0.000
Sb2 0.750 0.250 0.500
```

As for the volume: 30.789 Å³ per atom. As for the symmetry: I-42d, No. 122.

=====

Most stable one: model Q, least stable one: model P.

=====

Model P:
Density functional theory data (PBE-GGA) for Sn2Bi2Sb after structural relaxation.

CIF file:
```
data_Sn2Bi2Sb
_chemical_formula_sum 'Sn4 Bi4 Sb2'
_cell_length_a 4.368
_cell_length_b 4.368
_cell_length_c 17.038
_cell_angle_alpha 90.00
_cell_angle_beta 90.00
_cell_angle_gamma 90.00
_symmetry_space_group_name_H-M 'P 1'
_symmetry_Int_Tables_number 1
_symmetry_space_group_name_Hall 'P 1'
loop_
_atom_site_label
_atom_site_fract_x
_atom_site_fract_y
_atom_site_fract_z
Sn1 0.000 0.000 0.089
Sn2 0.000 0.000 0.911
Sn3 0.500 0.500 0.411
Sn4 0.500 0.500 0.589
Bi1 0.000 0.500 0.250
Bi2 0.000 0.500 0.750
Bi3 0.500 0.000 0.250
Bi4 0.500 0.000 0.750
Sb1 0.000 0.000 0.500
Sb2 0.500 0.500 0.000
```

As for the volume: 32.514 Å³ per atom. As for the symmetry: I4/mmm, No. 139.

=====

Model Q:
Density functional theory data (PBE-GGA) for Sn2Bi2Sb after structural relaxation.

CIF file:
```
data_Sn2Bi2Sb
_chemical_formula_sum 'Sn4 Bi4 Sb2'
_cell_length_a 8.558
_cell_length_b 8.558
_cell_length_c 4.141
_cell_angle_alpha 90.00
_cell_angle_beta 90.00
_cell_angle_gamma 90.00
_symmetry_space_group_name_H-M 'P 1'
_symmetry_Int_Tables_number 1
_symmetry_space_group_name_Hall 'P 1'
loop_
_atom_site_label
_atom_site_fract_x
_atom_site_fract_y
_atom_site_fract_z
Sn1 0.152 0.348 0.000
Sn2 0.348 0.848 0.000
Sn3 0.652 0.152 0.000
Sn4 0.848 0.652 0.000
Bi1 0.149 0.649 0.500
Bi2 0.351 0.149 0.500
Bi3 0.649 0.851 0.500
Bi4 0.851 0.351 0.500
Sb1 0.000 0.000 0.000
Sb2 0.500 0.500 0.000
```

As for the volume: 30.330 Å³ per atom. As for the symmetry: P4/mbm, No. 127.

=====

Model R:
Density functional theory data (PBE-GGA) for Sn2Bi2Sb after structural relaxation.

CIF file:
```
data_Sn2Bi2Sb
_chemical_formula_sum 'Sn4 Bi4 Sb2'
_cell_length_a 8.821
_cell_length_b 8.821
_cell_length_c 3.998
_cell_angle_alpha 90.00
_cell_angle_beta 90.00
_cell_angle_gamma 90.00
_symmetry_space_group_name_H-M 'P 1'
_symmetry_Int_Tables_number 1
_symmetry_space_group_name_Hall 'P 1'
loop_
_atom_site_label
_atom_site_fract_x
_atom_site_fract_y
_atom_site_fract_z
Sn1 0.142 0.358 0.000
Sn2 0.358 0.858 0.000
Sn3 0.642 0.142 0.000
Sn4 0.858 0.642 0.000
Bi1 0.158 0.658 0.500
Bi2 0.342 0.158 0.500
Bi3 0.658 0.842 0.500
Bi4 0.842 0.342 0.500
Sb1 0.000 0.000 0.500
Sb2 0.500 0.500 0.500
```

As for the volume: 31.113 Å³ per atom. As for the symmetry: P4/mbm, No. 127.

=====

Most stable one: model R, least stable one: model P.

=====

Model P:
Density functional theory data (PBE-GGA) for SnBiSb2Te after structural relaxation.

CIF file:
```
data_SnBiSb2Te
_chemical_formula_sum 'Sn1 Bi1 Sb2 Te1'
_cell_length_a 5.772
_cell_length_b 5.772
_cell_length_c 5.957
_cell_angle_alpha 90.00
_cell_angle_beta 90.00
_cell_angle_gamma 90.00
_symmetry_space_group_name_H-M 'P 1'
_symmetry_Int_Tables_number 1
_symmetry_space_group_name_Hall 'P 1'
loop_
_atom_site_label
_atom_site_fract_x
_atom_site_fract_y
_atom_site_fract_z
Sn1 0.000 0.000 0.000
Bi1 0.500 0.500 0.500
Sb1 0.000 0.500 0.500
Sb2 0.500 0.000 0.500
Te1 0.500 0.500 0.000
```

As for the volume: 39.697 Å³ per atom. As for the symmetry: P4/mmm, No. 123.

=====

Model Q:
Density functional theory data (PBE-GGA) for SnBiSb2Te after structural relaxation.

CIF file:
```
data_SnBiSb2Te
_chemical_formula_sum 'Sn1 Bi1 Sb2 Te1'
_cell_length_a 5.651
_cell_length_b 5.651
_cell_length_c 5.597
_cell_angle_alpha 90.00
_cell_angle_beta 90.00
_cell_angle_gamma 90.00
_symmetry_space_group_name_H-M 'P 1'
_symmetry_Int_Tables_number 1
_symmetry_space_group_name_Hall 'P 1'
loop_
_atom_site_label
_atom_site_fract_x
_atom_site_fract_y
_atom_site_fract_z
Sn1 0.000 0.000 0.000
Bi1 0.500 0.500 0.500
Sb1 0.000 0.500 0.000
Sb2 0.500 0.000 0.000
Te1 0.000 0.000 0.500
```

As for the volume: 35.750 Å³ per atom. As for the symmetry: P4/mmm, No. 123.

=====

Most stable one: model Q, least stable one: model P.